Entry from the Alexandria database: a geometry-optimized CrBPdO4 structure (GGA+U).

* uncorrected energy: -7.04 eV/atom
* total magnetization: 0.4089 μB per atom

Cell and atoms, written as CIF:
```
data_CrBPdO4
_chemical_formula_sum 'Cr4 B4 Pd4 O16'
_symmetry_space_group_name_H-M 'C m c m'
_symmetry_Int_Tables_number 63
_symmetry_space_group_name_Hall '-C 2c 2'
_cell_length_a 5.2444
_cell_length_b 8.0210
_cell_length_c 6.3347
_cell_angle_alpha 90.00
_cell_angle_beta 90.00
_cell_angle_gamma 90.00
loop_
_atom_site_label
_atom_site_fract_x
_atom_site_fract_y
_atom_site_fract_z
_atom_site_occupancy
Cr1 0.0000 0.0000 0.0000 1
B1 0.0000 0.3457 0.2500 1
Pd1 0.0000 0.2957 0.7500 1
O1 0.0000 0.2432 0.0648 1
O2 0.2406 0.4613 0.2500 1
```